No. 1
# La4BSCl2, optimized geometry, DFT PBE
# energy relative to the elements, uncorrected = -11.4 eV per formula unit
data_La4BSCl2
_space_group_name_H-M_alt 'P 1 2/m 1'
_space_group_IT_number 10
_cell_length_a 7.175
_cell_length_b 4.104
_cell_length_c 7.451
_cell_angle_alpha 90.00
_cell_angle_beta 108.47
_cell_angle_gamma 90.00
loop_
_space_group_symop_operation_xyz
'x,y,z'
'-x,-y,-z'
'-x,y,-z'
'x,-y,z'
loop_
_atom_site_label
_atom_site_type_symbol
_atom_site_fract_x
_atom_site_fract_y
_atom_site_fract_z
La1 La 0.220 0.000 0.209
La2 La 0.244 0.500 0.784
B1 B 0.000 0.500 0.000
S1 S 0.500 0.000 0.000
Cl1 Cl 0.000 0.000 0.500
Cl2 Cl 0.500 0.500 0.500

***

No. 2
# Ba2AgIr, optimized geometry, DFT PBE
# energy of formation from the pure elements = 20 meV per atom
# energy relative to the lowest polymorph listed for this composition = 0.109 eV/atom
data_Ba2AgIr
_space_group_name_H-M_alt 'R -3 m'
_space_group_IT_number 166
_space_group_name_Hall '-R 3 2"'
_cell_length_a 4.6030
_cell_length_b 4.6030
_cell_length_c 24.0771
_cell_angle_alpha 90.00
_cell_angle_beta 90.00
_cell_angle_gamma 120.00
loop_
_atom_site_label
_atom_site_type_symbol
_atom_site_fract_x
_atom_site_fract_y
_atom_site_fract_z
Ba1 Ba 0.0000 0.0000 0.2353
Ag1 Ag 0.0000 0.0000 0.0000
Ir1 Ir 0.0000 0.0000 0.5000

***

No. 3
# Zr2Sc2Cd, optimized geometry, DFT PBE
# energy of formation from the pure elements = 119 meV per atom
# energy relative to the lowest polymorph listed for this composition = 0.223 eV/atom
data_Zr2Sc2Cd
_space_group_name_H-M_alt 'P 4/m b m'
_space_group_IT_number 127
_space_group_name_Hall '-P 4 2ab'
_cell_length_a 7.593
_cell_length_b 7.593
_cell_length_c 4.080
_cell_angle_alpha 90.00
_cell_angle_beta 90.00
_cell_angle_gamma 90.00
loop_
_atom_site_label
_atom_site_type_symbol
_atom_site_fract_x
_atom_site_fract_y
_atom_site_fract_z
Zr1 Zr 0.146 0.354 0.000
Sc1 Sc 0.146 0.646 0.500
Cd1 Cd 0.000 0.000 0.500

***

No. 4
# Pr2ScSb3Ir4, optimized geometry, DFT PBE
# energy relative to the elements, uncorrected = -7.2 eV per formula unit
data_Pr2ScSb3Ir4
_space_group_name_H-M_alt 'P -4 m 2'
_space_group_IT_number 115
_cell_length_a 4.335
_cell_length_b 4.335
_cell_length_c 11.505
_cell_angle_alpha 90.00
_cell_angle_beta 90.00
_cell_angle_gamma 90.00
loop_
_space_group_symop_operation_xyz
'x,y,z'
'y,-x,-z'
'-x,-y,z'
'-y,x,-z'
'-x,y,z'
'-y,-x,-z'
'x,-y,z'
'y,x,-z'
loop_
_atom_site_label
_atom_site_type_symbol
_atom_site_fract_x
_atom_site_fract_y
_atom_site_fract_z
Pr1 Pr 0.000 0.500 0.239
Sc1 Sc 0.000 0.000 0.500
Sb1 Sb 0.000 0.500 0.866
Sb2 Sb 0.500 0.500 0.500
Ir1 Ir 0.000 0.000 0.000
Ir2 Ir 0.000 0.500 0.640
Ir3 Ir 0.500 0.500 0.000

***

No. 5
# Ca2LaRh, optimized geometry, DFT PBE
# energy of formation from the pure elements = -401 meV per atom
# energy relative to the lowest polymorph listed for this composition = 0.010 eV/atom
data_Ca2LaRh
_space_group_name_H-M_alt 'P n m a'
_space_group_IT_number 62
_cell_length_a 7.529
_cell_length_b 9.946
_cell_length_c 6.644
_cell_angle_alpha 90.00
_cell_angle_beta 90.00
_cell_angle_gamma 90.00
loop_
_space_group_symop_operation_xyz
'x,y,z'
'-x,-y,-z'
'-x+1/2,-y,z+1/2'
'x+1/2,y,-z+1/2'
'x+1/2,-y+1/2,-z+1/2'
'-x+1/2,y+1/2,z+1/2'
'-x,y+1/2,-z'
'x,-y+1/2,z'
loop_
_atom_site_label
_atom_site_type_symbol
_atom_site_fract_x
_atom_site_fract_y
_atom_site_fract_z
Ca1 Ca 0.172 0.069 0.167
La1 La 0.052 0.250 0.651
Rh1 Rh 0.130 0.750 0.987

***

No. 6
# CsBe2NCl, optimized geometry, DFT PBE
# energy relative to the elements, uncorrected = 11.4 eV per formula unit
data_CsBe2NCl
_space_group_name_H-M_alt 'P 4/m m m'
_space_group_IT_number 123
_space_group_name_Hall '-P 4 2'
_cell_length_a 5.901
_cell_length_b 5.901
_cell_length_c 4.318
_cell_angle_alpha 90.00
_cell_angle_beta 90.00
_cell_angle_gamma 90.00
loop_
_atom_site_label
_atom_site_type_symbol
_atom_site_fract_x
_atom_site_fract_y
_atom_site_fract_z
Cs1 Cs 0.000 0.000 0.000
Be1 Be 0.000 0.500 0.000
N1 N 0.000 0.000 0.500
Cl1 Cl 0.500 0.500 0.500

***

No. 7
# AcScPb2O8, optimized geometry, DFT PBE
# energy relative to the elements, uncorrected = -19.6 eV per formula unit
data_AcScPb2O8
_space_group_name_H-M_alt 'I -4'
_space_group_IT_number 82
_cell_length_a 5.495
_cell_length_b 5.495
_cell_length_c 11.344
_cell_angle_alpha 90.00
_cell_angle_beta 90.00
_cell_angle_gamma 90.00
loop_
_space_group_symop_operation_xyz
'x,y,z'
'y,-x,-z'
'-x,-y,z'
'-y,x,-z'
'x+1/2,y+1/2,z+1/2'
'y+1/2,-x+1/2,-z+1/2'
'-x+1/2,-y+1/2,z+1/2'
'-y+1/2,x+1/2,-z+1/2'
loop_
_atom_site_label
_atom_site_type_symbol
_atom_site_fract_x
_atom_site_fract_y
_atom_site_fract_z
Ac1 Ac 0.000 0.000 0.000
Sc1 Sc 0.000 0.500 0.750
Pb1 Pb 0.000 0.000 0.500
Pb2 Pb 0.000 0.500 0.250
O1 O 0.185 0.262 0.605
O2 O 0.227 0.759 0.161

***

No. 8
# CrNiCl2, optimized geometry, DFT PBE
# energy relative to the elements, uncorrected = 0.1 eV per formula unit
# energy relative to the lowest polymorph listed for this composition = 0.316 eV/atom
data_CrNiCl2
_space_group_name_H-M_alt 'I m m m'
_space_group_IT_number 71
_space_group_name_Hall '-I 2 2'
_cell_length_a 3.423
_cell_length_b 6.370
_cell_length_c 6.848
_cell_angle_alpha 90.00
_cell_angle_beta 90.00
_cell_angle_gamma 90.00
loop_
_atom_site_label
_atom_site_type_symbol
_atom_site_fract_x
_atom_site_fract_y
_atom_site_fract_z
Cr1 Cr 0.000 0.000 0.000
Ni1 Ni 0.000 0.000 0.500
Cl1 Cl 0.000 0.500 0.234

***

No. 9
# NpGa2Sb, optimized geometry, DFT PBE
# energy relative to the elements, uncorrected = 0.5 eV per formula unit
# energy relative to the lowest polymorph listed for this composition = 0.366 eV/atom
data_NpGa2Sb
_space_group_name_H-M_alt 'R -3 m'
_space_group_IT_number 166
_space_group_name_Hall '-R 3 2"'
_cell_length_a 5.0562
_cell_length_b 5.0562
_cell_length_c 12.3577
_cell_angle_alpha 90.00
_cell_angle_beta 90.00
_cell_angle_gamma 120.00
loop_
_atom_site_label
_atom_site_type_symbol
_atom_site_fract_x
_atom_site_fract_y
_atom_site_fract_z
Np1 Np 0.0000 0.0000 0.0000
Ga1 Ga 0.0000 0.0000 0.2502
Sb1 Sb 0.0000 0.0000 0.5000

***

No. 10
# Ba8HgAs3I4, optimized geometry, DFT PBE
# energy relative to the elements, uncorrected = -20.8 eV per formula unit
data_Ba8HgAs3I4
_space_group_name_H-M_alt 'R -3 m'
_space_group_IT_number 166
_space_group_name_Hall '-R 3 2"'
_cell_length_a 9.8218
_cell_length_b 9.8218
_cell_length_c 25.2004
_cell_angle_alpha 90.00
_cell_angle_beta 90.00
_cell_angle_gamma 120.00
loop_
_atom_site_label
_atom_site_type_symbol
_atom_site_fract_x
_atom_site_fract_y
_atom_site_fract_z
Ba1 Ba 0.0000 0.0000 0.2348
Ba2 Ba 0.0102 0.5051 0.7640
Hg1 Hg 0.0000 0.0000 0.5000
As1 As 0.0000 0.5000 0.5000
I1 I 0.0000 0.0000 0.0000
I2 I 0.0000 0.5000 0.0000

***

No. 11
# Tb6PrY2Mg, optimized geometry, DFT PBE
# energy of formation from the pure elements = 113 meV per atom
data_Tb6PrY2Mg
_space_group_name_H-M_alt 'C 1 2/c 1'
_space_group_IT_number 15
_cell_length_a 10.078
_cell_length_b 19.178
_cell_length_c 6.718
_cell_angle_alpha 90.00
_cell_angle_beta 98.78
_cell_angle_gamma 90.00
loop_
_space_group_symop_operation_xyz
'x,y,z'
'-x,-y,-z'
'-x,y,-z+1/2'
'x,-y,z+1/2'
'x+1/2,y+1/2,z'
'-x+1/2,-y+1/2,-z'
'-x+1/2,y+1/2,-z+1/2'
'x+1/2,-y+1/2,z+1/2'
loop_
_atom_site_label
_atom_site_type_symbol
_atom_site_fract_x
_atom_site_fract_y
_atom_site_fract_z
Tb1 Tb 0.075 0.144 0.044
Tb2 Tb 0.104 0.413 0.977
Tb3 Tb 0.171 0.256 0.711
Pr1 Pr 0.000 0.013 0.750
Y1 Y 0.240 0.417 0.492
Mg1 Mg 0.000 0.292 0.250

***

No. 12
# Sb2PAu, optimized geometry, DFT PBE
# energy relative to the elements, uncorrected = 0.0 eV per formula unit
data_Sb2PAu
_space_group_name_H-M_alt 'P m m 2'
_space_group_IT_number 25
_cell_length_a 3.909
_cell_length_b 5.651
_cell_length_c 4.240
_cell_angle_alpha 90.00
_cell_angle_beta 90.00
_cell_angle_gamma 90.00
loop_
_space_group_symop_operation_xyz
'x,y,z'
'-x,-y,z'
'-x,y,z'
'x,-y,z'
loop_
_atom_site_label
_atom_site_type_symbol
_atom_site_fract_x
_atom_site_fract_y
_atom_site_fract_z
Sb1 Sb 0.000 0.000 0.000
Sb2 Sb 0.500 0.500 0.451
P1 P 0.000 0.500 0.040
Au1 Au 0.500 0.000 0.503

***

No. 13
# TaSbRu2, optimized geometry, DFT PBE
# energy relative to the elements, uncorrected = -0.2 eV per formula unit
data_TaSbRu2
_space_group_name_H-M_alt 'I -4 m 2'
_space_group_IT_number 119
_space_group_name_Hall 'I -4 -2'
_cell_length_a 3.883
_cell_length_b 3.883
_cell_length_c 8.702
_cell_angle_alpha 90.00
_cell_angle_beta 90.00
_cell_angle_gamma 90.00
loop_
_atom_site_label
_atom_site_type_symbol
_atom_site_fract_x
_atom_site_fract_y
_atom_site_fract_z
Ta1 Ta 0.000 0.000 0.000
Sb1 Sb 0.000 0.500 0.750
Ru1 Ru 0.000 0.000 0.500
Ru2 Ru 0.000 0.500 0.250

***

No. 14
# CaScIrAu, optimized geometry, DFT PBE
# energy of formation from the pure elements = -613 meV per atom
data_CaScIrAu
_space_group_name_H-M_alt 'F -4 3 m'
_space_group_IT_number 216
_space_group_name_Hall 'F -4 2 3'
_cell_length_a 6.804
_cell_length_b 6.804
_cell_length_c 6.804
_cell_angle_alpha 90.00
_cell_angle_beta 90.00
_cell_angle_gamma 90.00
loop_
_atom_site_label
_atom_site_type_symbol
_atom_site_fract_x
_atom_site_fract_y
_atom_site_fract_z
Ca1 Ca 0.000 0.000 0.000
Sc1 Sc 0.000 0.000 0.500
Ir1 Ir 0.250 0.250 0.250
Au1 Au 0.250 0.250 0.750

***

No. 15
# KYMn2, optimized geometry, DFT PBE
# energy of formation from the pure elements = 475 meV per atom
# energy relative to the lowest polymorph listed for this composition = 0.000 eV/atom
data_KYMn2
_space_group_name_H-M_alt 'P 4 m m'
_space_group_IT_number 99
_cell_length_a 3.295
_cell_length_b 3.295
_cell_length_c 9.626
_cell_angle_alpha 90.00
_cell_angle_beta 90.00
_cell_angle_gamma 90.00
loop_
_space_group_symop_operation_xyz
'x,y,z'
'-y,x,z'
'-x,-y,z'
'y,-x,z'
'-x,y,z'
'y,x,z'
'x,-y,z'
'-y,-x,z'
loop_
_atom_site_label
_atom_site_type_symbol
_atom_site_fract_x
_atom_site_fract_y
_atom_site_fract_z
K1 K 0.000 0.000 0.000
Y1 Y 0.500 0.500 0.615
Mn1 Mn 0.000 0.000 0.409
Mn2 Mn 0.500 0.500 0.297

***

No. 16
# CsRb2Tl2In, optimized geometry, DFT PBE
# energy of formation from the pure elements = -13 meV per atom
data_CsRb2Tl2In
_space_group_name_H-M_alt 'P m c 21'
_space_group_IT_number 26
_cell_length_a 5.650
_cell_length_b 10.150
_cell_length_c 9.909
_cell_angle_alpha 90.00
_cell_angle_beta 90.00
_cell_angle_gamma 90.00
loop_
_space_group_symop_operation_xyz
'x,y,z'
'-x,-y,z+1/2'
'-x,y,z'
'x,-y,z+1/2'
loop_
_atom_site_label
_atom_site_type_symbol
_atom_site_fract_x
_atom_site_fract_y
_atom_site_fract_z
Cs1 Cs 0.000 0.067 0.000
Rb1 Rb 0.000 0.335 0.330
Rb2 Rb 0.500 0.389 0.962
Tl1 Tl 0.000 0.301 0.698
Tl2 Tl 0.500 0.077 0.281
In1 In 0.500 0.186 0.600

***

No. 17
# Nd5Dy2Er4, optimized geometry, DFT PBE
# energy of formation from the pure elements = 194 meV per atom
# energy relative to the lowest polymorph listed for this composition = 0.061 eV/atom
data_Nd5Dy2Er4
_space_group_name_H-M_alt 'I m m m'
_space_group_IT_number 71
_space_group_name_Hall '-I 2 2'
_cell_length_a 3.524
_cell_length_b 9.118
_cell_length_c 23.540
_cell_angle_alpha 90.00
_cell_angle_beta 90.00
_cell_angle_gamma 90.00
loop_
_atom_site_label
_atom_site_type_symbol
_atom_site_fract_x
_atom_site_fract_y
_atom_site_fract_z
Nd1 Nd 0.000 0.000 0.000
Nd2 Nd 0.000 0.299 0.354
Dy1 Dy 0.000 0.500 0.230
Er1 Er 0.000 0.185 0.500
Er2 Er 0.000 0.500 0.096

***

No. 18
# Na3Zr2AgS6, optimized geometry, DFT PBE
# energy relative to the elements, uncorrected = -15.2 eV per formula unit
data_Na3Zr2AgS6
_space_group_name_H-M_alt 'C 1 2/m 1'
_space_group_IT_number 12
_cell_length_a 6.652
_cell_length_b 11.512
_cell_length_c 7.005
_cell_angle_alpha 90.00
_cell_angle_beta 108.66
_cell_angle_gamma 90.00
loop_
_space_group_symop_operation_xyz
'x,y,z'
'-x,-y,-z'
'-x,y,-z'
'x,-y,z'
'x+1/2,y+1/2,z'
'-x+1/2,-y+1/2,-z'
'-x+1/2,y+1/2,-z'
'x+1/2,-y+1/2,z'
loop_
_atom_site_label
_atom_site_type_symbol
_atom_site_fract_x
_atom_site_fract_y
_atom_site_fract_z
Na1 Na 0.000 0.000 0.000
Na2 Na 0.000 0.343 0.000
Zr1 Zr 0.000 0.169 0.500
Ag1 Ag 0.000 0.500 0.500
S1 S 0.215 0.000 0.722
S2 S 0.245 0.180 0.277

***

No. 19
# La2Nd3Dy7, optimized geometry, DFT PBE
# energy of formation from the pure elements = 86 meV per atom
# energy relative to the lowest polymorph listed for this composition = 0.000 eV/atom
data_La2Nd3Dy7
_space_group_name_H-M_alt 'P 1 2/m 1'
_space_group_IT_number 10
_cell_length_a 6.419
_cell_length_b 3.562
_cell_length_c 17.726
_cell_angle_alpha 90.00
_cell_angle_beta 96.29
_cell_angle_gamma 90.00
loop_
_space_group_symop_operation_xyz
'x,y,z'
'-x,-y,-z'
'-x,y,-z'
'x,-y,z'
loop_
_atom_site_label
_atom_site_type_symbol
_atom_site_fract_x
_atom_site_fract_y
_atom_site_fract_z
La1 La 0.055 0.000 0.173
Nd1 Nd 0.455 0.500 0.841
Nd2 Nd 0.500 0.000 0.500
Dy1 Dy 0.000 0.500 0.500
Dy2 Dy 0.226 0.000 0.664
Dy3 Dy 0.256 0.000 0.001
Dy4 Dy 0.274 0.500 0.338

***

No. 20
# Cr2SbOs, optimized geometry, DFT PBE
# energy relative to the elements, uncorrected = 1.5 eV per formula unit
data_Cr2SbOs
_space_group_name_H-M_alt 'C m m m'
_space_group_IT_number 65
_space_group_name_Hall '-C 2 2'
_cell_length_a 5.495
_cell_length_b 7.556
_cell_length_c 2.923
_cell_angle_alpha 90.00
_cell_angle_beta 90.00
_cell_angle_gamma 90.00
loop_
_atom_site_label
_atom_site_type_symbol
_atom_site_fract_x
_atom_site_fract_y
_atom_site_fract_z
Cr1 Cr 0.250 0.250 0.000
Sb1 Sb 0.000 0.000 0.500
Os1 Os 0.000 0.500 0.500